This record from Alexandria via LeMat-Bulk describes a relaxed structure of GdMgBiAu. The functional is GGA-PBE.

Computed properties:
D(E_F) in states/eV/f.u.: 3.2
ΔE_f in eV/atom: -0.523

```
data_GdMgBiAu
_chemical_formula_sum 'Gd4 Mg4 Bi4 Au4'
_space_group_name_H-M_alt 'F -4 3 m'
_space_group_IT_number 216
_space_group_name_Hall 'F -4 2 3'
_cell_length_a 7.353
_cell_length_b 7.353
_cell_length_c 7.353
_cell_angle_alpha 90.00
_cell_angle_beta 90.00
_cell_angle_gamma 90.00
loop_
_atom_site_label
_atom_site_type_symbol
_atom_site_fract_x
_atom_site_fract_y
_atom_site_fract_z
_atom_site_occupancy
Gd1 Gd 0.000 0.000 0.000 1
Mg1 Mg 0.000 0.000 0.500 1
Bi1 Bi 0.250 0.250 0.250 1
Au1 Au 0.250 0.250 0.750 1
```


This record from Alexandria via LeMat-Bulk describes a relaxed structure of BaRe2Br. The functional is GGA-PBE.

Computed properties:
ΔE to the lowest computed polymorph in meV per atom: 1432
D(E_F) in states/eV/f.u.: 5.8
E_form (uncorrected) in eV/atom: 1.703

```
data_BaRe2Br
_chemical_formula_sum 'Ba2 Re4 Br2'
_space_group_name_H-M_alt 'C m m m'
_space_group_IT_number 65
_space_group_name_Hall '-C 2 2'
_cell_length_a 3.084
_cell_length_b 5.239
_cell_length_c 10.234
_cell_angle_alpha 90.00
_cell_angle_beta 90.00
_cell_angle_gamma 90.00
loop_
_atom_site_label
_atom_site_type_symbol
_atom_site_fract_x
_atom_site_fract_y
_atom_site_fract_z
_atom_site_occupancy
Ba1 Ba 0.000 0.000 0.000 1
Re1 Re 0.000 0.500 0.279 1
Br1 Br 0.000 0.000 0.500 1
```


This record from Alexandria via LeMat-Bulk describes a relaxed structure of Hf2Zr3In. The functional is GGA-PBE.

Computed properties:
ΔE to the lowest computed polymorph in meV per atom: 141
D(E_F) in states/eV/f.u.: 4.9
ΔE_f in eV/atom: 0.059

```
data_Hf2Zr3In
_chemical_formula_sum 'Hf4 Zr6 In2'
_space_group_name_H-M_alt 'P 1 21/m 1'
_space_group_IT_number 11
_cell_length_a 6.106
_cell_length_b 5.629
_cell_length_c 8.093
_cell_angle_alpha 90.00
_cell_angle_beta 90.14
_cell_angle_gamma 90.00
loop_
_space_group_symop_operation_xyz
'x,y,z'
'-x,-y,-z'
'-x,y+1/2,-z'
'x,-y+1/2,z'
loop_
_atom_site_label
_atom_site_type_symbol
_atom_site_fract_x
_atom_site_fract_y
_atom_site_fract_z
_atom_site_occupancy
Hf1 Hf 0.250 0.002 0.027 1
Zr1 Zr 0.002 0.750 0.313 1
Zr2 Zr 0.251 0.750 0.701 1
Zr3 Zr 0.499 0.750 0.314 1
In1 In 0.249 0.250 0.365 1
```


This record from Alexandria via LeMat-Bulk describes a relaxed structure of Ba2ZnHPd. The functional is GGA-PBE.

Computed properties:
ΔE to the lowest computed polymorph in meV per atom: 0
D(E_F) in states/eV/f.u.: 2.9

```
data_Ba2ZnHPd
_chemical_formula_sum 'Ba4 Zn2 H2 Pd2'
_space_group_name_H-M_alt 'P 1 21/m 1'
_space_group_IT_number 11
_cell_length_a 7.618
_cell_length_b 4.433
_cell_length_c 8.775
_cell_angle_alpha 90.00
_cell_angle_beta 106.35
_cell_angle_gamma 90.00
loop_
_space_group_symop_operation_xyz
'x,y,z'
'-x,-y,-z'
'-x,y+1/2,-z'
'x,-y+1/2,z'
loop_
_atom_site_label
_atom_site_type_symbol
_atom_site_fract_x
_atom_site_fract_y
_atom_site_fract_z
_atom_site_occupancy
Ba1 Ba 0.227 0.250 0.421 1
Ba2 Ba 0.230 0.250 0.943 1
Zn1 Zn 0.394 0.750 0.723 1
H1 H 0.163 0.750 0.158 1
Pd1 Pd 0.408 0.750 0.228 1
```


This record from Alexandria via LeMat-Bulk describes a relaxed structure of ZnTc3N. The functional is GGA-PBE.

Computed properties:
ΔE to the lowest computed polymorph in meV per atom: 78
D(E_F) in states/eV/f.u.: 4.2
E_form (uncorrected) in eV/atom: 0.101

```
data_ZnTc3N
_chemical_formula_sum 'Zn2 Tc6 N2'
_space_group_name_H-M_alt 'P 1'
_space_group_IT_number 1
_cell_length_a 4.942
_cell_length_b 5.059
_cell_length_c 5.321
_cell_angle_alpha 94.08
_cell_angle_beta 92.18
_cell_angle_gamma 96.24
loop_
_space_group_symop_operation_xyz
'x,y,z'
loop_
_atom_site_label
_atom_site_type_symbol
_atom_site_fract_x
_atom_site_fract_y
_atom_site_fract_z
_atom_site_occupancy
Zn1 Zn 0.000 0.000 0.000 1
Zn2 Zn 0.497 0.787 0.046 1
Tc1 Tc 0.058 0.528 0.266 1
Tc2 Tc 0.071 0.473 0.776 1
Tc3 Tc 0.317 0.022 0.607 1
Tc4 Tc 0.560 0.294 0.021 1
Tc5 Tc 0.570 0.539 0.550 1
Tc6 Tc 0.800 0.085 0.450 1
N1 N 0.331 0.269 0.324 1
N2 N 0.953 0.755 0.562 1
```


This record from Alexandria via LeMat-Bulk describes a relaxed structure of Tb4DyS7. The functional is GGA-PBE.

Computed properties:
D(E_F) in states/eV/f.u.: 1.3
E_form (uncorrected) in eV/atom: -2.080

```
data_Tb4DyS7
_chemical_formula_sum 'Tb8 Dy2 S14'
_space_group_name_H-M_alt 'C 1 m 1'
_space_group_IT_number 8
_cell_length_a 12.917
_cell_length_b 3.826
_cell_length_c 11.649
_cell_angle_alpha 90.00
_cell_angle_beta 104.68
_cell_angle_gamma 90.00
loop_
_space_group_symop_operation_xyz
'x,y,z'
'x,-y,z'
'x+1/2,y+1/2,z'
'x+1/2,-y+1/2,z'
loop_
_atom_site_label
_atom_site_type_symbol
_atom_site_fract_x
_atom_site_fract_y
_atom_site_fract_z
_atom_site_occupancy
Tb1 Tb 0.000 0.000 0.000 1
Tb2 Tb 0.088 0.500 0.390 1
Tb3 Tb 0.189 0.000 0.767 1
Tb4 Tb 0.388 0.500 0.578 1
Dy1 Dy 0.276 0.500 0.157 1
S1 S 0.048 0.500 0.629 1
S2 S 0.129 0.500 0.931 1
S3 S 0.149 0.000 0.226 1
S4 S 0.229 0.000 0.527 1
S5 S 0.347 0.500 0.793 1
S6 S 0.388 0.000 0.079 1
S7 S 0.430 0.500 0.363 1
```


This record from Alexandria via LeMat-Bulk describes a relaxed structure of SrCuTc2. The functional is GGA-PBE.

Computed properties:
ΔE to the lowest computed polymorph in meV per atom: 958
D(E_F) in states/eV/f.u.: 4.9
ΔE_f in eV/atom: 1.256

```
data_SrCuTc2
_chemical_formula_sum 'Sr4 Cu4 Tc8'
_space_group_name_H-M_alt 'F m -3 m'
_space_group_IT_number 225
_space_group_name_Hall '-F 4 2 3'
_cell_length_a 6.616
_cell_length_b 6.616
_cell_length_c 6.616
_cell_angle_alpha 90.00
_cell_angle_beta 90.00
_cell_angle_gamma 90.00
loop_
_atom_site_label
_atom_site_type_symbol
_atom_site_fract_x
_atom_site_fract_y
_atom_site_fract_z
_atom_site_occupancy
Sr1 Sr 0.000 0.000 0.000 1
Cu1 Cu 0.000 0.000 0.500 1
Tc1 Tc 0.250 0.250 0.250 1
```


This record from Alexandria via LeMat-Bulk describes a relaxed structure of Ca3ErPu2Te6. The functional is GGA-PBE.

Computed properties:
D(E_F) in states/eV/f.u.: 25.9
E_form (uncorrected) in eV/atom: -1.362

```
data_Ca3ErPu2Te6
_chemical_formula_sum 'Ca6 Er2 Pu4 Te12'
_space_group_name_H-M_alt 'C 1 2/m 1'
_space_group_IT_number 12
_cell_length_a 19.490
_cell_length_b 4.438
_cell_length_c 8.965
_cell_angle_alpha 90.00
_cell_angle_beta 103.89
_cell_angle_gamma 90.00
loop_
_space_group_symop_operation_xyz
'x,y,z'
'-x,-y,-z'
'-x,y,-z'
'x,-y,z'
'x+1/2,y+1/2,z'
'-x+1/2,-y+1/2,-z'
'-x+1/2,y+1/2,-z'
'x+1/2,-y+1/2,z'
loop_
_atom_site_label
_atom_site_type_symbol
_atom_site_fract_x
_atom_site_fract_y
_atom_site_fract_z
_atom_site_occupancy
Ca1 Ca 0.000 0.000 0.000 1
Ca2 Ca 0.168 0.500 0.332 1
Er1 Er 0.000 0.000 0.500 1
Pu1 Pu 0.167 0.500 0.833 1
Te1 Te 0.001 0.500 0.258 1
Te2 Te 0.163 0.000 0.580 1
Te3 Te 0.166 0.000 0.083 1
```


This record from Alexandria via LeMat-Bulk describes a relaxed structure of AcThHgIr. The functional is GGA-PBE.

Computed properties:
ΔE to the lowest computed polymorph in meV per atom: 272
D(E_F) in states/eV/f.u.: 4.5
ΔE_f in eV/atom: -0.351

```
data_AcThHgIr
_chemical_formula_sum 'Ac4 Th4 Hg4 Ir4'
_space_group_name_H-M_alt 'F -4 3 m'
_space_group_IT_number 216
_space_group_name_Hall 'F -4 2 3'
_cell_length_a 7.551
_cell_length_b 7.551
_cell_length_c 7.551
_cell_angle_alpha 90.00
_cell_angle_beta 90.00
_cell_angle_gamma 90.00
loop_
_atom_site_label
_atom_site_type_symbol
_atom_site_fract_x
_atom_site_fract_y
_atom_site_fract_z
_atom_site_occupancy
Ac1 Ac 0.000 0.000 0.000 1
Th1 Th 0.000 0.000 0.500 1
Hg1 Hg 0.250 0.250 0.250 1
Ir1 Ir 0.250 0.250 0.750 1
```


This record from Alexandria via LeMat-Bulk describes a relaxed structure of LiTi3Pd4. The functional is GGA-PBE.

Computed properties:
ΔE to the lowest computed polymorph in meV per atom: 240
D(E_F) in states/eV/f.u.: 8.6
ΔE_f in eV/atom: -0.275

```
data_LiTi3Pd4
_chemical_formula_sum 'Li2 Ti6 Pd8'
_space_group_name_H-M_alt 'I m m 2'
_space_group_IT_number 44
_cell_length_a 5.382
_cell_length_b 8.928
_cell_length_c 5.181
_cell_angle_alpha 90.00
_cell_angle_beta 90.00
_cell_angle_gamma 90.00
loop_
_space_group_symop_operation_xyz
'x,y,z'
'-x,-y,z'
'-x,y,z'
'x,-y,z'
'x+1/2,y+1/2,z+1/2'
'-x+1/2,-y+1/2,z+1/2'
'-x+1/2,y+1/2,z+1/2'
'x+1/2,-y+1/2,z+1/2'
loop_
_atom_site_label
_atom_site_type_symbol
_atom_site_fract_x
_atom_site_fract_y
_atom_site_fract_z
_atom_site_occupancy
Li1 Li 0.000 0.000 0.000 1
Ti1 Ti 0.000 0.235 0.307 1
Ti2 Ti 0.000 0.500 0.561 1
Pd1 Pd 0.000 0.245 0.810 1
Pd2 Pd 0.249 0.500 0.048 1
```


This record from Alexandria via LeMat-Bulk describes a relaxed structure of YMg14C. The functional is GGA-PBE.

Computed properties:
ΔE to the lowest computed polymorph in meV per atom: 0
D(E_F) in states/eV/f.u.: 6.6
ΔE_f in eV/atom: 0.176

```
data_YMg14C
_chemical_formula_sum 'Y2 Mg28 C2'
_space_group_name_H-M_alt 'A m m 2'
_space_group_IT_number 38
_cell_length_a 10.610
_cell_length_b 5.971
_cell_length_c 11.408
_cell_angle_alpha 90.00
_cell_angle_beta 90.00
_cell_angle_gamma 90.00
loop_
_space_group_symop_operation_xyz
'x,y,z'
'-x,-y,z'
'-x,y,z'
'x,-y,z'
'x,y+1/2,z+1/2'
'-x,-y+1/2,z+1/2'
'-x,y+1/2,z+1/2'
'x,-y+1/2,z+1/2'
loop_
_atom_site_label
_atom_site_type_symbol
_atom_site_fract_x
_atom_site_fract_y
_atom_site_fract_z
_atom_site_occupancy
Y1 Y 0.000 0.000 0.000 1
Mg1 Mg 0.000 0.229 0.266 1
Mg2 Mg 0.146 0.000 0.583 1
Mg3 Mg 0.257 0.000 0.135 1
Mg4 Mg 0.257 0.245 0.879 1
Mg5 Mg 0.500 0.000 0.483 1
Mg6 Mg 0.500 0.000 0.974 1
Mg7 Mg 0.500 0.247 0.725 1
C1 C 0.000 0.000 0.430 1
```


This record from Alexandria via LeMat-Bulk describes a relaxed structure of Sr2YIn. The functional is GGA-PBE.

Computed properties:
D(E_F) in states/eV/f.u.: 3.3
ΔE_f in eV/atom: -0.041

```
data_Sr2YIn
_chemical_formula_sum 'Sr4 Y2 In2'
_space_group_name_H-M_alt 'I -4 m 2'
_space_group_IT_number 119
_space_group_name_Hall 'I -4 -2'
_cell_length_a 5.418
_cell_length_b 5.418
_cell_length_c 9.635
_cell_angle_alpha 90.00
_cell_angle_beta 90.00
_cell_angle_gamma 90.00
loop_
_atom_site_label
_atom_site_type_symbol
_atom_site_fract_x
_atom_site_fract_y
_atom_site_fract_z
_atom_site_occupancy
Sr1 Sr 0.000 0.000 0.000 1
Sr2 Sr 0.000 0.500 0.250 1
Y1 Y 0.000 0.500 0.750 1
In1 In 0.000 0.000 0.500 1
```


This record from Alexandria via LeMat-Bulk describes a relaxed structure of KGaAsBr2. The functional is GGA-PBE.

Computed properties:
ΔE to the lowest computed polymorph in meV per atom: 603
E_form (uncorrected) in eV/atom: 0.078

```
data_KGaAsBr2
_chemical_formula_sum 'K1 Ga1 As1 Br2'
_space_group_name_H-M_alt 'P 4/m m m'
_space_group_IT_number 123
_space_group_name_Hall '-P 4 2'
_cell_length_a 6.146
_cell_length_b 6.146
_cell_length_c 6.137
_cell_angle_alpha 90.00
_cell_angle_beta 90.00
_cell_angle_gamma 90.00
loop_
_atom_site_label
_atom_site_type_symbol
_atom_site_fract_x
_atom_site_fract_y
_atom_site_fract_z
_atom_site_occupancy
K1 K 0.000 0.000 0.000 1
Ga1 Ga 0.500 0.500 0.500 1
As1 As 0.000 0.000 0.500 1
Br1 Br 0.000 0.500 0.000 1
```